No. 1
Density functional theory data (PBE) for a relaxed structure of ScHgSb.

Lattice parameters (Å, degrees): 9.650 9.650 9.650 160.49 148.31 37.49
Fractional coordinates of all 6 atoms:
Sc 0.173 0.173 0.000
Sc 0.827 0.827 0.000
Hg 0.251 0.000 0.251
Hg 0.749 0.000 0.749
Sb 0.334 0.334 0.000
Sb 0.666 0.666 0.000

Uncorrected energy in eV per cell: -23.08
ΔE to the lowest computed polymorph in eV per atom: 0.170
Formation energy (no corrections) in kJ/mol of formula units: -76
SG: Immm (71)

---

No. 2
Density functional theory data (PBE) for a relaxed structure of LaI2Cl.

Lattice parameters (Å, degrees): 4.335 9.937 8.014 90.00 105.64 90.00
Fractional coordinates of all 8 atoms:
La 0.244 0.250 0.488
La 0.756 0.750 0.512
I 0.147 0.560 0.292
I 0.147 0.940 0.292
I 0.853 0.060 0.708
I 0.853 0.440 0.708
Cl 0.371 0.750 0.742
Cl 0.629 0.250 0.258

Uncorrected energy in eV per cell: -34.33
ΔE to the lowest computed polymorph in eV per atom: 0.000
Formation energy (no corrections) in kJ/mol of formula units: -704
SG: P2_1/m (11)

---

Number 1: spin magnetization 0.0 μB per cell. Number 2: spin magnetization 0.0 μB per cell.